1.
The following is a DFT calculation (SCAN) of CdRe3W at its PBEsol-relaxed geometry.

## Properties
V in Å³ per cell: 99.0
Raw total energy in eV per atom: -59.08
Space-group type: Pm-3m

a b c (Å): 4.626 4.626 4.626
angles (deg): 90.00 90.00 90.00
Fractional coordinates of all 5 atoms:
Re1 0.000 0.500 0.000
Re2 0.000 0.000 0.500
Re3 0.500 0.000 0.000
W1 0.500 0.500 0.500
Cd1 0.000 0.000 0.000

2.
The following is a DFT calculation (SCAN) of Cd3ReW at its PBEsol-relaxed geometry.

## Properties
E above lowest polymorph in eV/f.u.: 0.00
V in Å³ per cell: 129.8
Space-group type: Pm-3m

a b c (Å): 5.063 5.063 5.063
angles (deg): 90.00 90.00 90.00
Each line ends with the local moment (μB).
Fractional coordinates of all 5 atoms:
Re1 0.000 0.000 0.000  -1.47
W1 0.500 0.500 0.500  3.33
Cd1 0.000 0.500 0.000  -0.05
Cd2 0.000 0.000 0.500  -0.05
Cd3 0.500 0.000 0.000  -0.05

3.
The following is a DFT calculation (SCAN) of YCdRe2 at its PBEsol-relaxed geometry.

## Properties
V in Å³ per cell: 72.9
Raw total energy in eV per atom: -49.61
Space-group type: P2/m

a b c (Å): 2.853 4.920 5.212
angles (deg): 90.00 95.02 90.00
Fractional coordinates of all 4 atoms:
Cd1 0.000 0.500 0.500
Re1 0.826 0.000 0.775
Re2 0.174 0.000 0.225
Y1 0.500 0.500 0.000

4.
The following is a DFT calculation (SCAN) of YCdRe2 at its PBEsol-relaxed geometry.

## Properties
V in Å³ per cell: 71.1
Raw total energy in eV per atom: -49.72
Space-group type: F-43m

a b c (Å): 4.649 4.649 4.649
angles (deg): 60.00 60.00 60.00
Fractional coordinates of all 4 atoms:
Cd1 0.250 0.250 0.250
Re1 0.000 0.000 0.000
Re2 0.750 0.750 0.750
Y1 0.500 0.500 0.500

5.
The following is a DFT calculation (SCAN) of YCdRe2 at its PBEsol-relaxed geometry.

## Properties
V in Å³ per cell: 72.5
Raw total energy in eV per atom: -49.52
Space-group type: I4/mmm

a b c (Å): 3.973 3.973 5.382
angles (deg): 111.66 111.66 90.00
Fractional coordinates of all 4 atoms:
Cd1 0.000 0.000 0.000
Re1 0.750 0.250 0.500
Re2 0.250 0.750 0.500
Y1 0.500 0.500 0.000

6.
The following is a DFT calculation (SCAN) of Y2CdRe at its PBEsol-relaxed geometry.

## Properties
V in Å³ per cell: 93.0
Raw total energy in eV per atom: -39.11
Space-group type: R-3m

a b c (Å): 3.391 3.391 9.540
angles (deg): 79.76 79.76 60.00
Fractional coordinates of all 4 atoms:
Cd1 0.500 0.500 0.500
Re1 0.000 0.000 0.000
Y1 0.260 0.260 0.219
Y2 0.740 0.740 0.781

- Look up the V of the first one.
  99.0 Å³ per cell